1.
Below is InOs2Se after structural relaxation, with properties calculated at the PBE level.

The calculation puts the density of states at the Fermi level at 0.83 states/eV/atom. The mass density comes out at 13.999 Mg/m³. The uncorrected energy is -25.9 eV per formula unit.

Cell and atoms, written as CIF:
```
data_InOs2Se
_symmetry_space_group_name_H-M 'I m m 2'
_symmetry_Int_Tables_number 44
_cell_length_a 2.990
_cell_length_b 4.600
_cell_length_c 9.905
_cell_angle_alpha 90.00
_cell_angle_beta 90.00
_cell_angle_gamma 90.00
loop_
_symmetry_equiv_pos_as_xyz
'x,y,z'
'-x,-y,z'
'-x,y,z'
'x,-y,z'
'x+1/2,y+1/2,z+1/2'
'-x+1/2,-y+1/2,z+1/2'
'-x+1/2,y+1/2,z+1/2'
'x+1/2,-y+1/2,z+1/2'
loop_
_atom_site_label
_atom_site_type_symbol
_atom_site_fract_x
_atom_site_fract_y
_atom_site_fract_z
_atom_site_occupancy
In1 In 0.000 0.000 0.000 1
Os1 Os 0.000 0.000 0.510 1
Os2 Os 0.000 0.500 0.781 1
Se1 Se 0.000 0.500 0.223 1
```

***

2.
Below is Zr2SiPt after structural relaxation, with properties calculated at the PBE level.

The calculation puts the density of states at the Fermi level at 0.88 states/eV/atom. The mass density comes out at 9.308 Mg/m³. The uncorrected energy is -31.5 eV per formula unit.

Cell and atoms, written as CIF:
```
data_Zr2SiPt
_symmetry_space_group_name_H-M 'P 4/m m m'
_symmetry_Int_Tables_number 123
_symmetry_space_group_name_Hall '-P 4 2'
_cell_length_a 4.233
_cell_length_b 4.233
_cell_length_c 4.037
_cell_angle_alpha 90.00
_cell_angle_beta 90.00
_cell_angle_gamma 90.00
loop_
_atom_site_label
_atom_site_type_symbol
_atom_site_fract_x
_atom_site_fract_y
_atom_site_fract_z
_atom_site_occupancy
Zr1 Zr 0.000 0.500 0.000 1
Si1 Si 0.000 0.000 0.500 1
Pt1 Pt 0.500 0.500 0.500 1
```

***

3.
Below is Co3Ni8 after structural relaxation, with properties calculated at the PBE level.

The value obtained for the energy of formation is -0.001 eV per atom. The calculation puts the density of states at the Fermi level at 1.27 states/eV/atom. The mass density comes out at 8.965 Mg/m³. The uncorrected energy is -67.6 eV per formula unit.

Cell and atoms, written as CIF:
```
data_Co3Ni8
_symmetry_space_group_name_H-M 'C 1 2/m 1'
_symmetry_Int_Tables_number 12
_cell_length_a 7.898
_cell_length_b 3.514
_cell_length_c 8.932
_cell_angle_alpha 90.00
_cell_angle_beta 105.04
_cell_angle_gamma 90.00
loop_
_symmetry_equiv_pos_as_xyz
'x,y,z'
'-x,-y,-z'
'-x,y,-z'
'x,-y,z'
'x+1/2,y+1/2,z'
'-x+1/2,-y+1/2,-z'
'-x+1/2,y+1/2,-z'
'x+1/2,-y+1/2,z'
loop_
_atom_site_label
_atom_site_type_symbol
_atom_site_fract_x
_atom_site_fract_y
_atom_site_fract_z
_atom_site_occupancy
Co1 Co 0.000 0.000 0.000 1
Co2 Co 0.043 0.500 0.818 1
Ni1 Ni 0.089 0.000 0.636 1
Ni2 Ni 0.137 0.500 0.453 1
Ni3 Ni 0.182 0.000 0.270 1
Ni4 Ni 0.227 0.500 0.089 1
```

***

4.
Below is LaAs3 after structural relaxation, with properties calculated at the PBE level.

The value obtained for the energy of formation is -0.666 eV per atom. The calculation puts the density of states at the Fermi level at 0.20 states/eV/atom. The mass density comes out at 5.994 Mg/m³. The uncorrected energy is -21.5 eV per formula unit.

Cell and atoms, written as CIF:
```
data_LaAs3
_symmetry_space_group_name_H-M 'P 1 2/m 1'
_symmetry_Int_Tables_number 10
_cell_length_a 4.447
_cell_length_b 4.089
_cell_length_c 5.795
_cell_angle_alpha 90.00
_cell_angle_beta 107.03
_cell_angle_gamma 90.00
loop_
_symmetry_equiv_pos_as_xyz
'x,y,z'
'-x,-y,-z'
'-x,y,-z'
'x,-y,z'
loop_
_atom_site_label
_atom_site_type_symbol
_atom_site_fract_x
_atom_site_fract_y
_atom_site_fract_z
_atom_site_occupancy
La1 La 0.000 0.000 0.000 1
As1 As 0.357 0.500 0.777 1
As2 As 0.500 0.000 0.500 1
```